Record 1
Pr6AlTl2 | PBE | relaxed

Structure (POSCAR):
```
Pr6AlTl2
1.0
8.513 0.000 0.000
-4.256 7.372 0.000
0.000 0.000 4.621
Pr Al Tl
6 1 2
Direct
0.000 0.258 0.000
0.000 0.597 0.500
0.258 0.000 0.000
0.403 0.403 0.500
0.597 0.000 0.500
0.742 0.742 0.000
0.000 0.000 0.500
0.333 0.667 0.000
0.667 0.333 0.000
```

Space-group type: P-62m
Calculated total energy, eV/atom: -4.376



Record 2
Pr7AlTl3 | PBE | relaxed

Structure (POSCAR):
```
Pr7AlTl3
1.0
-2.987 4.961 5.967
2.987 -4.961 5.967
2.987 4.961 -5.967
Pr Al Tl
7 1 3
Direct
0.000 0.000 0.000
0.094 0.762 0.332
0.317 0.500 0.817
0.429 0.762 0.668
0.571 0.238 0.332
0.683 0.500 0.183
0.906 0.238 0.668
0.000 0.500 0.500
0.266 0.266 0.000
0.500 0.000 0.500
0.734 0.734 0.000
```

Space-group type: Immm
Calculated total energy, eV/atom: -4.180



Record 3
Pr6Al2Tl | PBE | relaxed

Structure (POSCAR):
```
Pr6Al2Tl
1.0
-5.083 5.121 5.497
5.083 -5.121 5.497
5.083 5.121 -5.497
Pr Al Tl
12 4 2
Direct
0.035 0.822 0.213
0.245 0.541 0.296
0.245 0.949 0.704
0.277 0.315 0.592
0.277 0.685 0.961
0.391 0.178 0.213
0.609 0.822 0.787
0.723 0.315 0.039
0.723 0.685 0.408
0.755 0.051 0.296
0.755 0.459 0.704
0.965 0.178 0.787
0.000 0.136 0.136
0.000 0.864 0.864
0.380 0.380 0.000
0.620 0.620 0.000
0.000 0.500 0.500
0.500 0.000 0.500
```

Distance to the lowest polymorph of the same formula, kJ per mole of atoms: 0.0
Space-group type: Immm



Record 4
Pr2AlTl | PBE | relaxed

Structure (POSCAR):
```
Pr2AlTl
1.0
3.814 0.000 0.000
0.000 3.814 0.000
0.000 0.000 7.865
Pr Al Tl
2 1 1
Direct
0.000 0.000 0.237
0.000 0.000 0.763
0.500 0.500 0.000
0.500 0.500 0.500
```

Space-group type: P4/mmm
Calculated total energy, eV/atom: -4.278



Record 5
Pr4Al2Tl | PBE | relaxed

Structure (POSCAR):
```
Pr4Al2Tl
1.0
2.672 1.543 8.615
-2.672 1.543 8.615
0.000 -3.086 8.615
Pr Al Tl
4 2 1
Direct
0.116 0.116 0.116
0.369 0.369 0.369
0.631 0.631 0.631
0.884 0.884 0.884
0.248 0.248 0.248
0.752 0.752 0.752
0.500 0.500 0.500
```

Space-group type: R-3m
Calculated total energy, eV/atom: -4.356



Record 6
Pr4AlTl3 | PBE | relaxed

Structure (POSCAR):
```
Pr4AlTl3
1.0
3.861 0.000 0.000
0.000 3.861 0.000
0.000 0.000 15.839
Pr Al Tl
4 1 3
Direct
0.000 0.000 0.115
0.000 0.000 0.371
0.000 0.000 0.629
0.000 0.000 0.885
0.500 0.500 0.000
0.500 0.500 0.244
0.500 0.500 0.500
0.500 0.500 0.756
```

Space-group type: P4/mmm
Calculated total energy, eV/atom: -4.123



Record 7
Pr8AlTl2 | PBE | relaxed

Structure (POSCAR):
```
Pr8AlTl2
1.0
4.585 -7.616 0.000
4.585 7.616 0.000
-3.022 0.000 5.180
Pr Al Tl
8 1 2
Direct
0.093 0.311 0.565
0.218 0.782 0.000
0.311 0.093 0.565
0.385 0.385 0.183
0.615 0.615 0.817
0.689 0.907 0.435
0.782 0.218 0.000
0.907 0.689 0.435
0.000 0.000 0.000
0.303 0.697 0.500
0.697 0.303 0.500
```

Space-group type: C2/m
Calculated total energy, eV/atom: -4.351



Record 8
Pr4AlTl2 | PBE | relaxed

Structure (POSCAR):
```
Pr4AlTl2
1.0
2.713 1.566 8.843
-2.713 1.566 8.843
0.000 -3.132 8.843
Pr Al Tl
4 1 2
Direct
0.124 0.124 0.124
0.375 0.375 0.375
0.625 0.625 0.625
0.876 0.876 0.876
0.500 0.500 0.500
0.252 0.252 0.252
0.748 0.748 0.748
```

Distance to the lowest polymorph of the same formula, kJ per mole of atoms: 3.3
Space-group type: R-3m



Record 9
PrAlTl | PBE | relaxed

Structure (POSCAR):
```
PrAlTl
1.0
4.710 0.000 0.000
-2.355 4.079 0.000
0.000 0.000 4.106
Pr Al Tl
1 1 1
Direct
0.000 0.000 0.000
0.667 0.333 0.451
0.333 0.667 0.547
```

Space-group type: P3m1
Calculated total energy, eV/atom: -3.946



Record 10
Pr12Al2Tl5 | PBE | relaxed

Structure (POSCAR):
```
Pr12Al2Tl5
1.0
9.032 -3.653 0.000
9.032 3.653 0.000
-0.665 0.000 9.445
Pr Al Tl
12 2 5
Direct
0.010 0.010 0.304
0.088 0.590 0.048
0.100 0.592 0.481
0.408 0.900 0.519
0.410 0.912 0.952
0.466 0.466 0.811
0.534 0.534 0.189
0.590 0.088 0.048
0.592 0.100 0.481
0.900 0.408 0.519
0.912 0.410 0.952
0.990 0.990 0.696
0.170 0.830 0.000
0.830 0.170 0.000
0.209 0.209 0.250
0.275 0.275 0.751
0.500 0.500 0.500
0.725 0.725 0.249
0.791 0.791 0.750
```

Space-group type: C2/m
Calculated total energy, eV/atom: -4.188



Record 11
Pr2AlTl | PBE | relaxed

Structure (POSCAR):
```
Pr2AlTl
1.0
1.931 1.115 9.595
-1.931 1.115 9.595
0.000 -2.230 9.595
Pr Al Tl
2 1 1
Direct
0.245 0.245 0.245
0.755 0.755 0.755
0.500 0.500 0.500
0.000 0.000 0.000
```

Space-group type: R-3m
Calculated total energy, eV/atom: -4.104



Record 12
Pr3AlTl2 | PBE | relaxed

Structure (POSCAR):
```
Pr3AlTl2
1.0
3.844 0.000 0.000
0.000 3.844 0.000
0.000 0.000 11.854
Pr Al Tl
3 1 2
Direct
0.000 0.000 0.000
0.000 0.000 0.345
0.000 0.000 0.655
0.500 0.500 0.500
0.500 0.500 0.171
0.500 0.500 0.829
```

Space-group type: P4/mmm
Calculated total energy, eV/atom: -4.174



Record 13
Pr4AlTlZn2 | PBE | relaxed

Structure (POSCAR):
```
Pr4AlTlZn2
1.0
2.680 1.547 8.789
-2.680 1.547 8.789
0.000 -3.094 8.789
Pr Al Tl Zn
4 1 1 2
Direct
0.121 0.121 0.121
0.371 0.371 0.371
0.629 0.629 0.629
0.879 0.879 0.879
0.000 0.000 0.000
0.500 0.500 0.500
0.250 0.250 0.250
0.750 0.750 0.750
```

Space-group type: R-3m
Calculated total energy, eV/atom: -3.798



Record 14
Pr14TmAl | PBE | relaxed

Structure (POSCAR):
```
Pr14TmAl
1.0
10.333 0.000 0.000
0.000 5.149 5.150
0.000 -5.149 5.150
Pr Tm Al
14 1 1
Direct
0.000 0.000 0.000
0.000 0.000 0.501
0.000 0.500 0.500
0.000 0.501 0.000
0.258 0.255 0.255
0.259 0.255 0.745
0.259 0.745 0.255
0.260 0.745 0.745
0.500 0.001 0.499
0.500 0.499 0.001
0.740 0.745 0.745
0.741 0.255 0.745
0.741 0.745 0.255
0.742 0.255 0.255
0.500 0.000 0.000
0.500 0.500 0.500
```

Space-group type: Amm2
Calculated total energy, eV/atom: -4.705



Record 15
Pr3Tm12Al | PBE | relaxed

Structure (POSCAR):
```
Pr3Tm12Al
1.0
4.924 0.000 0.000
0.000 4.924 0.000
0.000 0.000 19.875
Pr Tm Al
3 12 1
Direct
0.000 0.000 0.000
0.000 0.000 0.254
0.000 0.000 0.746
0.000 0.500 0.128
0.000 0.500 0.385
0.000 0.500 0.615
0.000 0.500 0.872
0.500 0.000 0.128
0.500 0.000 0.385
0.500 0.000 0.615
0.500 0.000 0.872
0.500 0.500 0.000
0.500 0.500 0.260
0.500 0.500 0.500
0.500 0.500 0.740
0.000 0.000 0.500
```

Space-group type: P4/mmm
Calculated total energy, eV/atom: -4.490



Record 16
Pr6TmAl2 | PBE | relaxed

Structure (POSCAR):
```
Pr6TmAl2
1.0
6.519 -1.897 0.000
6.519 1.897 0.000
-3.936 0.000 11.417
Pr Tm Al
6 1 2
Direct
0.030 0.030 0.326
0.309 0.309 0.404
0.319 0.319 0.122
0.681 0.681 0.878
0.691 0.691 0.596
0.970 0.970 0.674
0.000 0.000 0.000
0.354 0.354 0.812
0.646 0.646 0.188
```

Space-group type: C2/m
Calculated total energy, eV/atom: -4.647



Record 17
Pr2TmAl2 | PBE | relaxed

Structure (POSCAR):
```
Pr2TmAl2
1.0
-2.470 3.406 4.087
2.470 -3.406 4.087
2.470 3.406 -4.087
Pr Tm Al
2 1 2
Direct
0.198 0.198 0.000
0.802 0.802 0.000
0.500 0.000 0.500
0.200 0.500 0.700
0.800 0.500 0.300
```

Space-group type: Immm
Calculated total energy, eV/atom: -4.602



Record 18
PrTm4Al | PBE | relaxed

Structure (POSCAR):
```
PrTm4Al
1.0
3.529 0.000 0.000
0.000 3.529 0.000
0.000 0.000 13.867
Pr Tm Al
1 4 1
Direct
0.000 0.000 0.000
0.000 0.000 0.367
0.000 0.000 0.633
0.500 0.500 0.186
0.500 0.500 0.814
0.500 0.500 0.500
```

Space-group type: P4/mmm
Calculated total energy, eV/atom: -4.518



Record 19
Pr12Tm3Al | PBE | relaxed

Structure (POSCAR):
```
Pr12Tm3Al
1.0
5.097 0.000 0.000
0.000 5.097 0.000
0.000 0.000 20.609
Pr Tm Al
12 3 1
Direct
0.000 0.000 0.000
0.000 0.000 0.246
0.000 0.000 0.500
0.000 0.000 0.754
0.000 0.500 0.118
0.000 0.500 0.373
0.000 0.500 0.627
0.000 0.500 0.882
0.500 0.000 0.118
0.500 0.000 0.373
0.500 0.000 0.627
0.500 0.000 0.882
0.500 0.500 0.247
0.500 0.500 0.500
0.500 0.500 0.753
0.500 0.500 0.000
```

Space-group type: P4/mmm
Calculated total energy, eV/atom: -4.677



Record 20
PrTm3Al2 | PBE | relaxed

Structure (POSCAR):
```
PrTm3Al2
1.0
3.528 0.000 0.000
0.000 3.528 0.000
0.000 0.000 12.546
Pr Tm Al
1 3 2
Direct
0.000 0.000 0.000
0.500 0.500 0.210
0.500 0.500 0.500
0.500 0.500 0.790
0.000 0.000 0.354
0.000 0.000 0.646
```

Distance to the lowest polymorph of the same formula, kJ per mole of atoms: 0.0
Space-group type: P4/mmm



Record 21
PrTm7Al4 | PBE | relaxed

Structure (POSCAR):
```
PrTm7Al4
1.0
6.879 -2.732 0.000
6.879 2.732 0.000
-5.876 0.000 8.508
Pr Tm Al
1 7 4
Direct
0.000 0.000 0.000
0.066 0.066 0.392
0.214 0.214 0.876
0.300 0.300 0.359
0.500 0.500 0.000
0.700 0.700 0.641
0.786 0.786 0.124
0.934 0.934 0.608
0.322 0.322 0.668
0.445 0.445 0.235
0.555 0.555 0.765
0.678 0.678 0.332
```

Space-group type: C2/m
Calculated total energy, eV/atom: -4.299



Record 22
PrTm3Al8 | PBE | relaxed

Structure (POSCAR):
```
PrTm3Al8
1.0
2.777 1.603 9.134
-2.777 1.603 9.134
0.000 -3.207 9.134
Pr Tm Al
1 3 8
Direct
0.000 0.000 0.000
0.376 0.376 0.376
0.499 0.499 0.499
0.874 0.874 0.874
0.187 0.187 0.187
0.436 0.436 0.935
0.436 0.935 0.436
0.440 0.938 0.938
0.688 0.688 0.688
0.935 0.436 0.436
0.938 0.440 0.938
0.938 0.938 0.440
```

Distance to the lowest polymorph of the same formula, kJ per mole of atoms: 0.0
Space-group type: R3m



Summary of ρ in g cm⁻³
7.34; 7.64; 6.40; 7.45; 6.40; 8.47; 7.17; 7.36; 7.83; 7.37; 6.88; 8.14; 7.03; 6.57; 8.54; 6.28; 6.10; 8.11; 6.90; 7.46; 7.43; 5.88
(order as listed above)